Density functional theory data (PBE) for crystalline PrCuGe2Pt at its relaxed geometry.

Cell lengths 4.266, 4.266, 6.001 Å; angles 110.82, 110.82, 90.00 degrees
Element x y z (fractional)
Cu 0.750 0.250 0.500
Pt 0.250 0.750 0.500
Ge 0.378 0.378 0.756
Ge 0.622 0.622 0.244
Pr 0.000 0.000 0.000

Output
The calculation puts the formation energy at -0.715 eV/atom. The calculation puts the volume at 94.4 Å³/f.u. As for the space group: No. 119. The total DFT energy (no corrections) comes out at -27.72 eV for the cell shown.

***

Density functional theory data (PBE) for crystalline ZrTl2Si2 at its relaxed geometry.

Cell lengths 3.388, 3.388, 10.012 Å; angles 80.26, 80.26, 90.00 degrees
Element x y z (fractional)
Si 0.250 0.750 0.500
Si 0.750 0.250 0.500
Tl 0.608 0.608 0.783
Tl 0.392 0.392 0.217
Zr 0.000 0.000 0.000

Output
The value obtained for the uncorrected formation energy is 0.325 eV/atom. The value obtained for the energy above the most stable polymorph in this dataset is 0 meV per atom. The calculation puts the volume at 111.6 Å³/f.u. As for the space group: No. 139. The total DFT energy (no corrections) comes out at -22.50 eV for the cell shown.

***

Density functional theory data (PBE) for crystalline Sm2YErN4 at its relaxed geometry.

Cell lengths 3.522, 6.097, 6.100 Å; angles 109.43, 90.00, 90.00 degrees
Element x y z (fractional)
Sm 0.500 0.000 0.500
Sm 0.000 0.500 0.500
N 0.500 0.246 0.242
N 0.000 0.749 0.243
N 0.500 0.754 0.758
N 0.000 0.251 0.757
Y 0.500 0.500 0.000
Er 0.000 0.000 0.000

Output
The value obtained for the uncorrected formation energy is -1.598 eV/atom. The calculation puts the volume at 123.5 Å³/f.u. As for the space group: No. 10. The total DFT energy (no corrections) comes out at -66.55 eV for the cell shown.

***

Density functional theory data (PBE) for crystalline KVInP2 at its relaxed geometry.

Cell lengths 5.117, 5.588, 5.117 Å; angles 90.00, 90.00, 90.00 degrees
Element x y z (fractional)
K 0.000 0.500 0.000
V 0.500 0.500 0.500
P 0.500 0.000 0.000
P 0.000 0.000 0.500
In 0.000 0.000 0.000

Output
The calculation puts the formation energy at 1.502 eV/atom. The calculation puts the volume at 146.3 Å³/f.u. As for the space group: No. 123. The total DFT energy (no corrections) comes out at -16.26 eV for the cell shown.

***

Density functional theory data (PBE) for crystalline Ge2OsPtN at its relaxed geometry.

Cell lengths 4.198, 4.093, 4.198 Å; angles 90.00, 90.00, 90.00 degrees
Element x y z (fractional)
N 0.000 0.000 0.000
Ge 0.500 0.000 0.000
Ge 0.000 0.000 0.500
Os 0.500 0.500 0.500
Pt 0.000 0.500 0.000

Output
The value obtained for the uncorrected formation energy is 0.877 eV/atom. The value obtained for the energy above the most stable polymorph in this dataset is 0 meV per atom. The calculation puts the volume at 72.1 Å³/f.u. As for the space group: No. 123. The total DFT energy (no corrections) comes out at -30.45 eV for the cell shown.

***

Density functional theory data (PBE) for crystalline Cs3TlHg at its relaxed geometry.

Cell lengths 9.216, 8.798, 15.409 Å; angles 90.00, 95.48, 90.00 degrees
Element x y z (fractional)
Cs 0.415 0.845 0.613
Cs 0.116 0.768 0.047
Cs 0.884 0.232 0.953
Cs 0.282 0.391 0.833
Cs 0.585 0.155 0.387
Cs 0.415 0.155 0.113
Cs 0.116 0.232 0.547
Cs 0.585 0.845 0.887
Cs 0.718 0.391 0.667
Cs 0.282 0.609 0.333
Cs 0.718 0.609 0.167
Cs 0.884 0.768 0.453
Hg 0.076 0.636 0.663
Hg 0.924 0.636 0.837
Hg 0.924 0.364 0.337
Hg 0.076 0.364 0.163
Tl 0.850 0.961 0.700
Tl 0.850 0.039 0.200
Tl 0.150 0.039 0.300
Tl 0.150 0.961 0.800

Output
The calculation puts the formation energy at -0.080 eV/atom. The value obtained for the energy above the most stable polymorph in this dataset is 0 meV per atom. The calculation puts the volume at 310.9 Å³/f.u. As for the space group: No. 13. The total DFT energy (no corrections) comes out at -22.51 eV for the cell shown.

***

Density functional theory data (PBE) for crystalline La2HgHOs at its relaxed geometry.

Cell lengths 5.288, 5.288, 3.806 Å; angles 90.00, 90.00, 90.00 degrees
Element x y z (fractional)
Hg 0.500 0.500 0.500
La 0.500 0.000 0.000
La 0.000 0.500 0.000
H 0.000 0.000 0.000
Os 0.000 0.000 0.500

Output
The calculation puts the volume at 106.4 Å³/f.u. As for the space group: No. 123. The total DFT energy (no corrections) comes out at -25.93 eV for the cell shown.

***

Density functional theory data (PBE) for crystalline BaLa2Pb at its relaxed geometry.

Cell lengths 6.357, 6.357, 6.494 Å; angles 82.60, 82.60, 34.36 degrees
Element x y z (fractional)
Pb 0.497 0.497 0.516
La 0.759 0.759 0.739
La 0.009 0.009 0.973
Ba 0.236 0.236 0.272

Output
The calculation puts the formation energy at -0.147 eV/atom. The calculation puts the volume at 146.8 Å³/f.u. As for the space group: No. 8. The total DFT energy (no corrections) comes out at -16.07 eV for the cell shown.

***

Density functional theory data (PBE) for crystalline LaPm6Er2 at its relaxed geometry.

Cell lengths 3.471, 10.097, 10.097 Å; angles 120.00, 90.00, 90.00 degrees
Element x y z (fractional)
Pm 0.222 0.657 0.657
Pm 0.222 0.343 0.000
Pm 0.778 0.000 0.657
Pm 0.222 0.000 0.343
Pm 0.778 0.657 0.000
Pm 0.778 0.343 0.343
Er 0.500 0.667 0.333
Er 0.500 0.333 0.667
La 0.000 0.000 0.000

Output
The calculation puts the formation energy at 0.133 eV/atom. The value obtained for the energy above the most stable polymorph in this dataset is 114 meV per atom. The calculation puts the volume at 306.4 Å³/f.u. As for the space group: No. 162. The total DFT energy (no corrections) comes out at -41.36 eV for the cell shown.

***

Density functional theory data (PBE) for crystalline Ca11Cd9Hg4 at its relaxed geometry.

Cell lengths 3.972, 13.545, 13.545 Å; angles 112.82, 90.00, 90.00 degrees
Element x y z (fractional)
Ca 0.000 0.166 0.834
Ca 0.000 0.351 0.649
Ca 0.000 0.000 0.000
Ca 0.000 0.729 0.729
Ca 0.000 0.072 0.413
Ca 0.000 0.271 0.271
Ca 0.000 0.928 0.587
Ca 0.000 0.649 0.351
Ca 0.000 0.834 0.166
Ca 0.000 0.587 0.928
Ca 0.000 0.413 0.072
Hg 0.500 0.263 0.451
Hg 0.500 0.451 0.263
Hg 0.500 0.737 0.549
Hg 0.500 0.549 0.737
Cd 0.500 0.369 0.858
Cd 0.500 0.631 0.142
Cd 0.500 0.500 0.500
Cd 0.500 0.858 0.369
Cd 0.500 0.948 0.792
Cd 0.500 0.208 0.052
Cd 0.500 0.792 0.948
Cd 0.500 0.052 0.208
Cd 0.500 0.142 0.631

Output
The calculation puts the formation energy at -0.384 eV/atom. The calculation puts the volume at 671.7 Å³/f.u. As for the space group: No. 65. The total DFT energy (no corrections) comes out at -40.68 eV for the cell shown.

***

Density functional theory data (PBE) for crystalline PaCuAs2O8 at its relaxed geometry.

Cell lengths 5.914, 5.914, 5.914 Å; angles 107.00, 107.00, 114.53 degrees
Element x y z (fractional)
O 0.933 0.248 0.315
O 0.752 0.067 0.685
O 0.336 0.144 0.807
O 0.471 0.664 0.807
O 0.933 0.618 0.685
O 0.382 0.067 0.315
O 0.856 0.664 0.193
O 0.336 0.529 0.193
Pa 0.250 0.750 0.500
As 0.750 0.250 0.500
As 0.500 0.500 0.000
Cu 0.000 0.000 0.000

Output
The value obtained for the uncorrected formation energy is -1.693 eV/atom. The calculation puts the volume at 158.3 Å³/f.u. As for the space group: No. 119. The total DFT energy (no corrections) comes out at -82.88 eV for the cell shown.

***

Density functional theory data (PBE) for crystalline PmSnIr2 at its relaxed geometry.

Cell lengths 7.105, 5.871, 9.183 Å; angles 90.00, 90.00, 90.00 degrees
Element x y z (fractional)
Ir 0.301 0.750 0.965
Ir 0.500 0.500 0.500
Ir 0.000 0.000 0.000
Ir 0.699 0.250 0.035
Ir 0.699 0.750 0.965
Ir 0.301 0.250 0.035
Ir 0.000 0.500 0.000
Ir 0.500 0.000 0.500
Sn 0.000 0.250 0.250
Sn 0.500 0.750 0.726
Sn 0.000 0.750 0.750
Sn 0.500 0.250 0.274
Pm 0.000 0.250 0.620
Pm 0.500 0.750 0.217
Pm 0.500 0.250 0.783
Pm 0.000 0.750 0.380

Output
The calculation puts the formation energy at 0.065 eV/atom. The calculation puts the volume at 95.8 Å³/f.u. As for the space group: No. 51. The total DFT energy (no corrections) comes out at -104.86 eV for the cell shown.

***

Density functional theory data (PBE) for crystalline ErTmTl2 at its relaxed geometry.

Cell lengths 3.747, 3.747, 7.545 Å; angles 90.00, 90.00, 90.00 degrees
Element x y z (fractional)
Er 0.500 0.500 0.500
Tl 0.000 0.000 0.751
Tl 0.000 0.000 0.249
Tm 0.500 0.500 0.000

Output
The calculation puts the formation energy at -0.302 eV/atom. The calculation puts the volume at 105.9 Å³/f.u. As for the space group: No. 123. The total DFT energy (no corrections) comes out at -14.97 eV for the cell shown.

***

Density functional theory data (PBE) for crystalline CePr2Nd6 at its relaxed geometry.

Cell lengths 5.503, 8.392, 9.857 Å; angles 115.19, 123.96, 90.00 degrees
Element x y z (fractional)
Nd 0.500 0.723 0.000
Nd 0.276 0.836 0.276
Nd 0.500 0.277 0.000
Nd 0.724 0.164 0.724
Nd 0.276 0.441 0.276
Nd 0.724 0.559 0.724
Pr 0.063 0.782 0.563
Pr 0.937 0.218 0.437
Ce 0.000 0.000 0.000

Output
The calculation puts the formation energy at 0.266 eV/atom. The calculation puts the volume at 324.0 Å³/f.u. As for the space group: No. 65. The total DFT energy (no corrections) comes out at -41.71 eV for the cell shown.

***

Density functional theory data (PBE) for crystalline LiCaPd2 at its relaxed geometry.

Cell lengths 7.506, 9.889, 7.111 Å; angles 90.00, 90.00, 139.00 degrees
Element x y z (fractional)
Li 0.000 0.250 0.338
Li 0.500 0.250 0.339
Li 0.000 0.750 0.662
Li 0.500 0.750 0.661
Pd 0.000 0.500 0.000
Pd 0.379 0.879 0.857
Pd 0.500 0.000 0.500
Pd 0.621 0.121 0.143
Pd 0.379 0.379 0.143
Pd 0.621 0.621 0.857
Pd 0.000 0.000 0.000
Pd 0.500 0.500 0.500
Ca 0.000 0.750 0.200
Ca 0.500 0.750 0.198
Ca 0.000 0.250 0.800
Ca 0.500 0.250 0.802

Output
The calculation puts the formation energy at -0.387 eV/atom. The calculation puts the volume at 86.6 Å³/f.u. As for the space group: No. 13. The total DFT energy (no corrections) comes out at -63.40 eV for the cell shown.

***

Density functional theory data (PBE) for crystalline Nd2Sm4Hg3O2 at its relaxed geometry.

Cell lengths 4.870, 4.870, 12.480 Å; angles 101.25, 101.25, 90.00 degrees
Element x y z (fractional)
Sm 0.415 0.915 0.831
Sm 0.915 0.415 0.831
Sm 0.585 0.085 0.169
Sm 0.085 0.585 0.169
Nd 0.298 0.298 0.597
Nd 0.702 0.702 0.403
O 0.399 0.399 0.797
O 0.601 0.601 0.203
Hg 0.829 0.829 0.659
Hg 0.171 0.171 0.341
Hg 0.000 0.000 0.000

Output
The value obtained for the uncorrected formation energy is -1.240 eV/atom. The calculation puts the volume at 284.5 Å³/f.u. As for the space group: No. 139. The total DFT energy (no corrections) comes out at -52.87 eV for the cell shown.

***

Density functional theory data (PBE) for crystalline NaVCd at its relaxed geometry.

Cell lengths 8.956, 2.954, 9.569 Å; angles 90.00, 90.00, 90.00 degrees
Element x y z (fractional)
Na 0.926 0.750 0.152
Na 0.574 0.250 0.652
Na 0.074 0.250 0.848
Na 0.426 0.750 0.348
Cd 0.764 0.750 0.866
Cd 0.236 0.250 0.134
Cd 0.736 0.250 0.366
Cd 0.264 0.750 0.634
V 0.074 0.250 0.442
V 0.574 0.250 0.058
V 0.426 0.750 0.942
V 0.926 0.750 0.558

Output
The calculation puts the formation energy at 0.391 eV/atom. The value obtained for the energy above the most stable polymorph in this dataset is 237 meV per atom. The calculation puts the volume at 63.3 Å³/f.u. As for the space group: No. 62. The total DFT energy (no corrections) comes out at -40.72 eV for the cell shown.

***

Density functional theory data (PBE) for crystalline La2Hg2As at its relaxed geometry.

Cell lengths 7.852, 7.852, 4.619 Å; angles 90.00, 90.00, 90.00 degrees
Element x y z (fractional)
As 0.500 0.500 0.000
As 0.000 0.000 0.000
La 0.171 0.671 0.500
La 0.329 0.171 0.500
La 0.671 0.829 0.500
La 0.829 0.329 0.500
Hg 0.132 0.368 0.000
Hg 0.632 0.132 0.000
Hg 0.868 0.632 0.000
Hg 0.368 0.868 0.000

Output
The calculation puts the formation energy at -0.517 eV/atom. The value obtained for the energy above the most stable polymorph in this dataset is 53 meV per atom. The calculation puts the volume at 142.4 Å³/f.u. As for the space group: No. 127. The total DFT energy (no corrections) comes out at -35.39 eV for the cell shown.

***

Density functional theory data (PBE) for crystalline PuNpZnPt at its relaxed geometry.

Cell lengths 4.785, 4.785, 4.785 Å; angles 60.00, 60.00, 60.00 degrees
Element x y z (fractional)
Pt 0.250 0.250 0.250
Pu 0.750 0.750 0.750
Zn 0.500 0.500 0.500
Np 0.000 0.000 0.000

Output
The calculation puts the formation energy at -0.322 eV/atom. The calculation puts the volume at 77.4 Å³/f.u. As for the space group: No. 216. The total DFT energy (no corrections) comes out at -35.87 eV for the cell shown.

***

Density functional theory data (PBE) for crystalline Sm3YHo2 at its relaxed geometry.

Cell lengths 3.546, 6.803, 17.506 Å; angles 79.81, 84.19, 74.89 degrees
Element x y z (fractional)
Sm 0.733 0.871 0.664
Sm 0.068 0.029 0.835
Sm 0.372 0.267 0.989
Sm 0.628 0.733 0.011
Sm 0.267 0.129 0.336
Sm 0.932 0.971 0.165
Y 0.540 0.602 0.317
Y 0.460 0.398 0.683
Ho 0.367 0.765 0.501
Ho 0.802 0.562 0.835
Ho 0.198 0.438 0.165
Ho 0.633 0.235 0.499

Output
The calculation puts the formation energy at 0.103 eV/atom. The value obtained for the energy above the most stable polymorph in this dataset is 31 meV per atom. The calculation puts the volume at 200.3 Å³/f.u. As for the space group: No. 12. The total DFT energy (no corrections) comes out at -58.31 eV for the cell shown.

***

Density functional theory data (PBE) for crystalline CoSbBr2 at its relaxed geometry.

Cell lengths 3.359, 3.359, 8.569 Å; angles 90.00, 90.00, 90.00 degrees
Element x y z (fractional)
Sb 0.500 0.500 0.698
Co 0.000 0.000 0.509
Br 0.000 0.000 0.943
Br 0.500 0.500 0.350

Output
The value obtained for the uncorrected formation energy is 0.170 eV/atom. The value obtained for the energy above the most stable polymorph in this dataset is 304 meV per atom. The calculation puts the volume at 96.7 Å³/f.u. As for the space group: No. 99. The total DFT energy (no corrections) comes out at -13.89 eV for the cell shown.

***

Density functional theory data (PBE) for crystalline KZn3Fe at its relaxed geometry.

Cell lengths 4.818, 4.818, 4.818 Å; angles 90.00, 90.00, 90.00 degrees
Element x y z (fractional)
K 0.500 0.500 0.500
Fe 0.000 0.000 0.000
Zn 0.500 0.000 0.000
Zn 0.000 0.000 0.500
Zn 0.000 0.500 0.000

Output
The calculation puts the formation energy at 0.286 eV/atom. The value obtained for the energy above the most stable polymorph in this dataset is 0 meV per atom. The calculation puts the volume at 111.8 Å³/f.u. As for the space group: No. 221. The total DFT energy (no corrections) comes out at -11.95 eV for the cell shown.

***

Density functional theory data (PBE) for crystalline Np2PaPdSe4 at its relaxed geometry.

Cell lengths 6.925, 6.090, 6.090 Å; angles 71.14, 55.35, 55.35 degrees
Element x y z (fractional)
Pd 0.500 0.000 0.000
Np 0.500 0.500 0.500
Np 0.000 0.500 0.500
Se 0.500 0.573 0.000
Se 0.927 0.000 0.573
Se 0.500 0.000 0.427
Se 0.073 0.427 0.000
Pa 0.000 0.000 0.000

Output
The value obtained for the uncorrected formation energy is -0.951 eV/atom. The calculation puts the volume at 173.8 Å³/f.u. As for the space group: No. 121. The total DFT energy (no corrections) comes out at -62.12 eV for the cell shown.